# BaGe2F8 | Alexandria | PBE | optimized geometry
# E_tot: -54.197 eV/cell
# space-group type: C2/m (12)
# formation energy without anion corrections: -2.55 eV per atom
data_BaGe2F8
_chemical_formula_sum 'Ba1 Ge2 F8'
_cell_length_a 6.096
_cell_length_b 6.096
_cell_length_c 6.636
_cell_angle_alpha 101.36
_cell_angle_beta 101.36
_cell_angle_gamma 50.01
_symmetry_space_group_name_H-M 'P 1'
_symmetry_Int_Tables_number 1
loop_
_symmetry_equiv_pos_as_xyz
'x,y,z'
loop_
_atom_site_label
_atom_site_type_symbol
_atom_site_fract_x
_atom_site_fract_y
_atom_site_fract_z
Ba1 Ba 0.000 0.000 0.000
Ge1 Ge 0.227 0.227 0.640
Ge2 Ge 0.773 0.773 0.360
F1 F 0.082 0.590 0.222
F2 F 0.101 0.101 0.400
F3 F 0.385 0.385 0.818
F4 F 0.410 0.918 0.778
F5 F 0.590 0.082 0.222
F6 F 0.615 0.615 0.182
F7 F 0.899 0.899 0.600
F8 F 0.918 0.410 0.778